# ZnSnNF2

A relaxed structure of ZnSnNF2 (PBE, Alexandria via LeMat-Bulk).

Cell and atoms, written as POSCAR:
```
ZnSnNF2
1.0
3.945 0.000 0.000
0.000 3.945 0.000
0.000 0.000 4.345
Zn Sn N F
1 1 1 2
Direct
0.000 0.000 0.000
0.500 0.500 0.500
0.000 0.000 0.500
0.000 0.500 0.000
0.500 0.000 0.000
```

Raw formation energy = -3.813 eV per formula unit
Total energy = -21.16 eV/cell
Distance to the lowest polymorph of the same formula = 0.00 eV/f.u.
Calculated volume = 13.52 Å³ per atom